VASP calculation (GGA+U) on a relaxed structure of K2PrNi3F12.

Cell: 7.4798 7.4798 16.2196 Å, 90.00 90.00 120.00°
Space group R-3m (No. 166, hexagonal axes)
Asymmetric unit:
K (0.0000, 0.0000, 0.1112)
Pr (0.0000, 0.0000, 0.5000)
Ni (0.0000, 0.5000, 0.0000)
F (0.0274, 0.5137, 0.8807)
F (0.0841, 0.5421, 0.3081)

Results
For the total magnetization, the calculation gives 15.0 μB/cell. The density of states at the Fermi level is 21.4 states/eV/cell. As for the total energy: -253.34 eV per cell.